Computed, not measured: a geometry-optimized BaCoOF2 structure at the PBE+U level of DFT.

abc: 6.059 6.059 5.818
angles: 121.49 120.85 90.34
Site moments in Bohr magnetons follow the coordinates.
Fractional positions:
F: 0.752 0.252 0.000  0.05
O: 0.285 0.285 0.500  0.11
Co: 0.000 0.000 0.000  2.73
F: 0.212 0.221 0.933  0.05
O: 0.716 0.716 0.500  0.11
F: 0.789 0.779 0.068  0.05
Co: 0.500 0.500 0.000  2.73
F: 0.248 0.748 0.000  0.05
Ba: 0.737 0.265 0.502  0.00
Ba: 0.263 0.735 0.498  0.00

Summary:
Raw total energy   -5.659 eV/atom
Distance to the lowest polymorph of the same formula   0.0 meV per atom
DOS at the Fermi energy   0.000 states/eV/atom